Entry 1:
The following is a DFT calculation (PBE-GGA) of an optimized crystal structure of CsSr3Pb.

Results
For the total energy, the calculation gives -1.0781 eV/atom. Its crystal system is cubic.

Lattice parameters (Å, degrees): 6.195 6.195 6.195 90.00 90.00 90.00
Space group Pm-3m (No. 221)
Inequivalent atoms, fractional coordinates:
Cs 0.000 0.000 0.000 [1 per cell]
Sr 0.000 0.000 0.500 [3 per cell]
Pb 0.500 0.500 0.500 [1 per cell]

Entry 2:
The following is a DFT calculation (PBE-GGA) of an optimized crystal structure of KLi2Os.

Results
For the total energy, the calculation gives -3.3125 eV/atom. Its crystal system is orthorhombic.

Lattice parameters (Å, degrees): 2.605 6.021 11.666 90.00 90.00 90.00
Space group Immm (No. 71)
Inequivalent atoms, fractional coordinates:
K 0.000 0.000 0.000 [2 per cell]
Li 0.000 0.500 0.196 [4 per cell]
Os 0.000 0.000 0.500 [2 per cell]

Entry 3:
The following is a DFT calculation (PBE-GGA) of an optimized crystal structure of MgCr2W.

Results
For the total energy, the calculation gives -7.8775 eV/atom. Its crystal system is monoclinic.

Lattice parameters (Å, degrees): 8.992 2.560 5.027 90.00 90.39 90.00
Space group Cm (No. 8)
Inequivalent atoms, fractional coordinates:
Mg 0.000 0.000 0.000 [2 per cell]
Cr 0.009 0.500 0.488 [2 per cell]
Cr 0.244 0.500 0.238 [2 per cell]
W 0.257 0.000 0.728 [2 per cell]

Entry 4:
The following is a DFT calculation (PBE-GGA) of an optimized crystal structure of Cd2ReCl8.

Results
For the total energy, the calculation gives -3.4280 eV/atom. Its crystal system is monoclinic.

Lattice parameters (Å, degrees): 15.894 6.706 6.412 90.00 95.14 90.00
Space group C2/m (No. 12)
Inequivalent atoms, fractional coordinates:
Cd 0.156 0.000 0.473 [4 per cell]
Re 0.000 0.000 0.000 [2 per cell]
Cl 0.051 0.243 0.247 [8 per cell]
Cl 0.135 0.000 0.865 [4 per cell]
Cl 0.199 0.500 0.605 [4 per cell]